Entry from the Alexandria database: Ag3SbPt after structural relaxation (PBEsol).

abc: 4.950 4.950 4.950
angles: 90.00 90.00 90.00
Atoms (fractional coordinates):
Ag: 0.000 0.000 0.500
Ag: 0.000 0.500 0.000
Sb: 0.500 0.500 0.500
Pt: 0.000 0.000 0.000
Ag: 0.500 0.000 0.000

Results
Symmetry: Pm-3m
DFT total energy, eV/atom: -3.451
Formation energy (no corrections), eV/atom: 0.840